Arrangement P

BC2S: relaxed, PBE-GGA.

Structure (POSCAR):
```
BC2S
1.0
2.7148 0.0000 0.0000
-0.0222 4.9211 0.0000
-1.3445 -2.1479 4.4231
B C S
1 2 1
direct
0.0000 0.0000 0.0000
0.2987 0.6002 0.6007
0.4322 0.8656 0.8656
0.6878 0.3818 0.3829
```

Summary:
calculated volume	59	Å³/cell


Arrangement Q

BC2S: relaxed, PBE-GGA.

Structure (POSCAR):
```
BC2S
1.0
3.3780 0.0000 0.0000
0.6392 3.9566 0.0000
1.0387 1.4697 3.8011
B C S
1 2 1
direct
0.0000 0.0000 0.0000
0.0056 0.6000 0.1326
0.9609 0.2590 0.2070
0.6412 0.2033 0.6576
```

Summary:
calculated volume	51	Å³/cell


Arrangement R

BC2S: relaxed, PBE-GGA.

Structure (POSCAR):
```
BC2S
1.0
1.2295 -3.7602 0.0000
1.2295 3.7602 0.0000
-0.1755 0.0000 6.0611
B C S
1 2 1
direct
0.0000 0.0000 0.0000
0.1961 0.7922 0.9167
0.7922 0.1961 0.9167
0.5193 0.5193 0.2631
```

Summary:
calculated volume	56	Å³/cell


Arrangement S

BC2S: relaxed, PBE-GGA.

Structure (POSCAR):
```
BC2S
1.0
2.9469 0.0000 0.0000
1.0603 4.1885 0.0000
0.5982 0.1914 4.9933
B C S
1 2 1
direct
0.0000 0.0000 0.0000
0.1727 0.3183 0.0780
0.4793 0.0887 0.9320
0.0396 0.6275 0.2738
```

Summary:
calculated volume	62	Å³/cell


Least stable = arrangement S


Arrangement P

BC2S: relaxed, PBE-GGA.

Structure (POSCAR):
```
BC2S
1.0
3.8176 0.0000 0.0000
0.0000 2.7635 0.0000
-1.7658 0.0000 4.4176
B C S
1 2 1
direct
0.0000 0.0000 0.0000
0.0217 0.0000 0.3301
0.9942 0.5000 0.8555
0.8679 0.5000 0.4701
```

Summary:
calculated volume	47	Å³/cell


Arrangement Q

BC2S: relaxed, PBE-GGA.

Structure (POSCAR):
```
BC2S
1.0
2.6577 0.0000 0.0000
1.2227 3.6067 0.0000
1.1930 0.4945 6.3442
B C S
1 2 1
direct
0.0000 0.0000 0.0000
0.5823 0.7556 0.0577
0.7592 0.4019 0.0762
0.1127 0.0680 0.6941
```

Summary:
calculated volume	61	Å³/cell


Least stable = arrangement Q


Arrangement P

BC2S: relaxed, PBE-GGA.

Structure (POSCAR):
```
BC2S
1.0
0.0000 2.5594 2.5594
2.5594 0.0000 2.5594
2.5594 2.5594 0.0000
B C S
1 2 1
direct
0.0000 0.0000 0.0000
0.2500 0.2500 0.2500
0.7500 0.7500 0.7500
0.5000 0.5000 0.5000
```

Summary:
calculated volume	34	Å³/cell


Arrangement Q

BC2S: relaxed, PBE-GGA.

Structure (POSCAR):
```
BC2S
1.0
3.7950 0.0000 0.0000
-0.0183 3.8716 0.0000
-1.6637 -0.4930 4.0826
B C S
1 2 1
direct
0.0000 0.0000 0.0000
0.3890 0.9979 0.9991
0.6911 0.2337 0.0298
0.6113 0.6320 0.8613
```

Summary:
calculated volume	60	Å³/cell


Least stable = arrangement P


Arrangement P

BCS2: relaxed, PBE-GGA.

Structure (POSCAR):
```
BCS2
1.0
1.6299 0.9410 5.4746
-1.6299 0.9410 5.4746
0.0000 -1.8820 5.4746
B C S
1 1 2
direct
0.0000 0.0000 0.0000
0.5000 0.5000 0.5000
0.4037 0.4037 0.4037
0.5963 0.5963 0.5963
```

Summary:
calculated volume	50	Å³/cell


Arrangement Q

BCS2: relaxed, PBE-GGA.

Structure (POSCAR):
```
BCS2
1.0
0.0000 2.7706 2.7706
2.7706 0.0000 2.7706
2.7706 2.7706 0.0000
B C S
1 1 2
direct
0.0000 0.0000 0.0000
0.5000 0.5000 0.5000
0.2500 0.2500 0.2500
0.7500 0.7500 0.7500
```

Summary:
calculated volume	43	Å³/cell


Arrangement R

BCS2: relaxed, PBE-GGA.

Structure (POSCAR):
```
BCS2
1.0
-2.5927 2.5927 3.5837
2.5927 -2.5927 3.5837
2.5927 2.5927 -3.5837
B C S
2 2 4
direct
0.0000 0.0000 0.0000
0.7500 0.2500 0.5000
0.2500 0.7500 0.5000
0.5000 0.5000 0.0000
0.0933 0.6250 0.9683
0.3750 0.3433 0.4683
0.6567 0.1250 0.0317
0.8750 0.9067 0.5317
```

Summary:
calculated volume	96	Å³/cell


Least stable = arrangement Q


Arrangement P

BSb2C: relaxed, PBE-GGA.

Structure (POSCAR):
```
BSb2C
1.0
0.0000 3.1590 3.1590
3.1590 0.0000 3.1590
3.1590 3.1590 0.0000
B Sb C
1 2 1
direct
0.0000 0.0000 0.0000
0.2500 0.2500 0.2500
0.7500 0.7500 0.7500
0.5000 0.5000 0.5000
```

Summary:
calculated volume	63	Å³/cell


Arrangement Q

BSb2C: relaxed, PBE-GGA.

Structure (POSCAR):
```
BSb2C
1.0
-2.6064 2.6064 5.3402
2.6064 -2.6064 5.3402
2.6064 2.6064 -5.3402
B Sb C
2 4 2
direct
0.0000 0.0000 0.0000
0.7500 0.2500 0.5000
0.1255 0.6250 0.0005
0.3750 0.3755 0.5005
0.6245 0.1250 0.9995
0.8750 0.8745 0.4995
0.2500 0.7500 0.5000
0.5000 0.5000 0.0000
```

Summary:
calculated volume	145	Å³/cell


Least stable = arrangement P


Arrangement P

ScBC3: relaxed, PBE-GGA.

Structure (POSCAR):
```
ScBC3
1.0
4.2398 0.0000 0.0000
0.0000 4.2398 0.0000
0.0000 0.0000 4.2398
Sc B C
1 1 3
direct
0.0000 0.0000 0.0000
0.5000 0.5000 0.5000
0.0000 0.0000 0.5000
0.0000 0.5000 0.0000
0.5000 0.0000 0.0000
```

Summary:
calculated volume	76	Å³/cell


Arrangement Q

ScBC3: relaxed, PBE-GGA.

Structure (POSCAR):
```
ScBC3
1.0
3.5071 0.0000 0.0000
0.0000 3.5071 0.0000
0.0000 0.0000 3.5071
Sc B C
1 1 3
direct
0.0000 0.0000 0.0000
0.5000 0.5000 0.5000
0.0000 0.5000 0.5000
0.5000 0.0000 0.5000
0.5000 0.5000 0.0000
```

Summary:
calculated volume	43	Å³/cell


Least stable = arrangement P